Entry 1:
Entry from OQMD via LeMat-Bulk: crystalline InPOsO at its relaxed geometry (PBE).

Output
E: -50.1 eV per cell
Magnetic moment: 0.0 μB per cell
Space group: Pmc2_1 (26)

Cell and atoms, written as POSCAR:
```
InPOsO
1.0
3.7923 0.0000 0.0000
0.0000 7.8433 0.0000
0.0000 0.0000 4.8074
In P Os O
2 2 2 2
Direct
0.0000 0.0960 0.0000 In
0.0000 0.9040 0.5000 In
0.5000 0.3112 0.9127 P
0.5000 0.6888 0.4127 P
0.5000 0.3927 0.4248 Os
0.5000 0.6073 0.9248 Os
0.0000 0.3794 0.4221 O
0.0000 0.6206 0.9221 O
```

---

Entry 2:
Entry from OQMD via LeMat-Bulk: crystalline LaCd2Si2 at its relaxed geometry (PBE).

Output
E: -35.2 eV per cell
Magnetic moment: 0.0 μB per cell
Space group: P4/mbm (127)

Cell and atoms, written as POSCAR:
```
LaCd2Si2
1.0
7.6039 0.0000 0.0000
0.0000 7.6039 0.0000
0.0000 0.0000 4.0445
La Cd Si
2 4 4
Direct
0.0000 0.0000 0.0000 La
0.5000 0.5000 0.0000 La
0.1680 0.3320 0.5000 Cd
0.3320 0.8320 0.5000 Cd
0.6680 0.1680 0.5000 Cd
0.8320 0.6680 0.5000 Cd
0.1114 0.6114 0.0000 Si
0.3886 0.1114 0.0000 Si
0.6114 0.8886 0.0000 Si
0.8886 0.3886 0.0000 Si
```

---

Entry 3:
Entry from OQMD via LeMat-Bulk: crystalline CdIrNO at its relaxed geometry (PBE).

Output
E: -43.5 eV per cell
Magnetic moment: 0.0 μB per cell
Space group: P4/nmm (129)

Cell and atoms, written as POSCAR:
```
CdIrNO
1.0
3.8708 0.0000 0.0000
0.0000 3.8708 0.0000
0.0000 0.0000 7.4793
Cd Ir N O
2 2 2 2
Direct
0.2500 0.2500 0.1370 Cd
0.7500 0.7500 0.8630 Cd
0.2500 0.7500 0.5000 Ir
0.7500 0.2500 0.5000 Ir
0.2500 0.2500 0.6135 N
0.7500 0.7500 0.3865 N
0.2500 0.7500 0.0000 O
0.7500 0.2500 0.0000 O
```